# Nd2Zn4Ag5 (PBE-GGA, relaxed)
data_Nd2Zn4Ag5
_chemical_formula_sum 'Nd4 Zn8 Ag10'
_cell_length_a 12.558
_cell_length_b 5.631
_cell_length_c 8.696
_cell_angle_alpha 90.00
_cell_angle_beta 133.77
_cell_angle_gamma 90.00
_symmetry_space_group_name_H-M 'C 1 2/m 1'
_symmetry_Int_Tables_number 12
_symmetry_space_group_name_Hall '-C 2y'
loop_
_atom_site_label
_atom_site_type_symbol
_atom_site_fract_x
_atom_site_fract_y
_atom_site_fract_z
Nd1 Nd 0.212 0.000 0.213
Zn1 Zn 0.244 0.500 0.084
Zn2 Zn 0.244 0.500 0.404
Ag1 Ag 0.000 0.251 0.312
Ag2 Ag 0.000 0.500 0.000
# E_tot = -2.788 eV/atom